Below is a relaxed structure of ReTcSeBr2, with properties calculated at the PBE level.

Geometry as CIF:
```
data_ReTcSeBr2
_chemical_formula_sum 'Re1 Tc1 Se1 Br2'
_space_group_name_H-M_alt 'P 4/m m m'
_space_group_IT_number 123
_space_group_name_Hall '-P 4 2'
_cell_length_a 5.249
_cell_length_b 5.249
_cell_length_c 4.708
_cell_angle_alpha 90.00
_cell_angle_beta 90.00
_cell_angle_gamma 90.00
loop_
_atom_site_label
_atom_site_fract_x
_atom_site_fract_y
_atom_site_fract_z
Re1 0.000 0.000 0.000
Tc1 0.500 0.500 0.500
Se1 0.000 0.000 0.500
Br1 0.000 0.500 0.000
```

Output
Energy in eV/cell: -23.70
Magnetization in μB per formula unit: 5.15
Calculated volume in Å³/f.u.: 129.70
Uncorrected formation energy in eV/atom: 1.19
Offset from the most stable computed form in meV/atom: 0

Below is a relaxed structure of LaCe2SmP4, with properties calculated at the PBE level.

Geometry as CIF:
```
data_LaCe2SmP4
_chemical_formula_sum 'La1 Ce2 Sm1 P4'
_space_group_name_H-M_alt 'P 1 2/m 1'
_space_group_IT_number 10
_space_group_name_Hall '-P 2y'
_cell_length_a 7.169
_cell_length_b 4.138
_cell_length_c 7.169
_cell_angle_alpha 90.00
_cell_angle_beta 109.44
_cell_angle_gamma 90.00
loop_
_atom_site_label
_atom_site_fract_x
_atom_site_fract_y
_atom_site_fract_z
La1 0.000 0.000 0.000
Ce1 0.500 0.000 0.500
Ce2 0.500 0.500 0.000
Sm1 0.000 0.500 0.500
P1 0.257 0.000 0.748
P2 0.260 0.500 0.258
```

Output
Energy in eV/cell: -55.44
Energy of formation in eV/atom: -1.535
Magnetization in μB per formula unit: 1.02
Calculated volume in Å³/f.u.: 200.54

Below is a relaxed structure of Ca2GaSnPt6, with properties calculated at the PBE level.

Geometry as CIF:
```
data_Ca2GaSnPt6
_chemical_formula_sum 'Ca8 Ga4 Sn4 Pt24'
_space_group_name_H-M_alt 'F m -3 m'
_space_group_IT_number 225
_space_group_name_Hall '-F 4 2 3'
_cell_length_a 9.715
_cell_length_b 9.715
_cell_length_c 9.715
_cell_angle_alpha 90.00
_cell_angle_beta 90.00
_cell_angle_gamma 90.00
loop_
_atom_site_label
_atom_site_fract_x
_atom_site_fract_y
_atom_site_fract_z
Ca1 0.250 0.250 0.250
Ga1 0.000 0.000 0.000
Sn1 0.000 0.000 0.500
Pt1 0.000 0.000 0.241
```

Output
Energy in eV/cell: -194.63
Energy of formation in eV/atom: -0.138
Magnetization in μB per formula unit: 0.00
Calculated volume in Å³/f.u.: 229.25

Below is a relaxed structure of Tb6Dy2Y5, with properties calculated at the PBE level.

Geometry as CIF:
```
data_Tb6Dy2Y5
_chemical_formula_sum 'Tb12 Dy4 Y10'
_space_group_name_H-M_alt 'P b a m'
_space_group_IT_number 55
_space_group_name_Hall '-P 2 2ab'
_cell_length_a 11.628
_cell_length_b 20.301
_cell_length_c 3.595
_cell_angle_alpha 90.00
_cell_angle_beta 90.00
_cell_angle_gamma 90.00
loop_
_atom_site_label
_atom_site_fract_x
_atom_site_fract_y
_atom_site_fract_z
Tb1 0.062 0.080 0.000
Tb2 0.083 0.367 0.000
Tb3 0.171 0.636 0.500
Dy1 0.167 0.789 0.000
Y1 0.000 0.500 0.500
Y2 0.091 0.225 0.500
Y3 0.197 0.947 0.500
```

Output
Energy in eV/cell: -136.04
Energy of formation in eV/atom: 0.099
Magnetization in μB per formula unit: 0.00
Calculated volume in Å³/f.u.: 424.31

Question: What is the energy in the second record?
Answer: -55.44 eV/cell